(1)
Density functional theory data (GGA-PBE) for a relaxed structure of Cd3InF8.

Structure (CIF):
```
data_Cd3InF8
_chemical_formula_sum 'Cd3 In1 F8'
_cell_length_a 5.520
_cell_length_b 5.520
_cell_length_c 5.520
_cell_angle_alpha 90.00
_cell_angle_beta 90.00
_cell_angle_gamma 90.00
_space_group_name_H-M_alt 'P m -3 m'
_space_group_IT_number 221
_space_group_name_Hall '-P 4 2 3'
loop_
_atom_site_label
_atom_site_type_symbol
_atom_site_fract_x
_atom_site_fract_y
_atom_site_fract_z
Cd1 Cd 0.000 0.000 0.500
In1 In 0.500 0.500 0.500
F1 F 0.254 0.254 0.254
```

Results
theoretical density: 6.0 Mg/m³
ΔE_f (raw): -2.18 eV per atom
energy: -46.6 eV for the cell shown

***

(2)
Density functional theory data (GGA-PBE) for a relaxed structure of KNaLi2Bi.

Structure (CIF):
```
data_KNaLi2Bi
_chemical_formula_sum 'K1 Na1 Li2 Bi1'
_cell_length_a 5.510
_cell_length_b 5.510
_cell_length_c 6.131
_cell_angle_alpha 90.00
_cell_angle_beta 90.00
_cell_angle_gamma 90.00
_space_group_name_H-M_alt 'P 4/m m m'
_space_group_IT_number 123
_space_group_name_Hall '-P 4 2'
loop_
_atom_site_label
_atom_site_type_symbol
_atom_site_fract_x
_atom_site_fract_y
_atom_site_fract_z
K1 K 0.000 0.000 0.000
Na1 Na 0.500 0.500 0.000
Li1 Li 0.000 0.500 0.500
Bi1 Bi 0.500 0.500 0.500
```

Results
theoretical density: 2.5 Mg/m³
formation energy: -0.213 eV per atom
energy: -11.2 eV for the cell shown

***

(3)
Density functional theory data (GGA-PBE) for a relaxed structure of YFeRe2.

Structure (CIF):
```
data_YFeRe2
_chemical_formula_sum 'Y2 Fe2 Re4'
_cell_length_a 10.925
_cell_length_b 2.881
_cell_length_c 4.605
_cell_angle_alpha 90.00
_cell_angle_beta 114.79
_cell_angle_gamma 90.00
_space_group_name_H-M_alt 'C 1 2/m 1'
_space_group_IT_number 12
_space_group_name_Hall '-C 2y'
loop_
_atom_site_label
_atom_site_type_symbol
_atom_site_fract_x
_atom_site_fract_y
_atom_site_fract_z
Y1 Y 0.000 0.000 0.000
Fe1 Fe 0.000 0.500 0.500
Re1 Re 0.216 0.000 0.716
```

Results
theoretical density: 13.1 Mg/m³
offset from the most stable computed form: 0.111 eV/atom
formation energy: 0.288 eV per atom
energy: -77.3 eV for the cell shown

***

(4)
Density functional theory data (GGA-PBE) for a relaxed structure of La2HoTm5Th.

Structure (CIF):
```
data_La2HoTm5Th
_chemical_formula_sum 'La8 Ho4 Tm20 Th4'
_cell_length_a 5.590
_cell_length_b 19.584
_cell_length_c 10.911
_cell_angle_alpha 90.00
_cell_angle_beta 90.00
_cell_angle_gamma 90.00
_space_group_name_H-M_alt 'C m c 21'
_space_group_IT_number 36
_space_group_name_Hall 'C 2c -2'
loop_
_atom_site_label
_atom_site_type_symbol
_atom_site_fract_x
_atom_site_fract_y
_atom_site_fract_z
La1 La 0.000 0.115 0.000
La2 La 0.000 0.115 0.419
Ho1 Ho 0.000 0.202 0.693
Tm1 Tm 0.000 0.014 0.713
Tm2 Tm 0.000 0.282 0.993
Tm3 Tm 0.000 0.300 0.395
Tm4 Tm 0.000 0.392 0.704
Tm5 Tm 0.000 0.482 0.422
Th1 Th 0.000 0.418 0.148
```

Results
theoretical density: 8.4 Mg/m³
formation energy: 0.167 eV per atom
energy: -170.8 eV for the cell shown